Entry 1:
Compound: YMg14Al
Source: Alexandria
Functional: PBE-GGA
Structure: relaxed

a = 6.487 Å, b = 6.487 Å, c = 10.192 Å
α = 90.00°, β = 90.00°, γ = 120.00°
Fractional coordinates of all 16 atoms:
Y1 0.000 0.000 0.000
Mg1 0.012 0.506 0.000
Mg2 0.165 0.329 0.259
Mg3 0.165 0.329 0.741
Mg4 0.165 0.835 0.259
Mg5 0.165 0.835 0.741
Mg6 0.494 0.506 0.000
Mg7 0.494 0.988 0.000
Mg8 0.504 0.008 0.500
Mg9 0.504 0.496 0.500
Mg10 0.667 0.333 0.242
Mg11 0.667 0.333 0.758
Mg12 0.671 0.835 0.259
Mg13 0.671 0.835 0.741
Mg14 0.992 0.496 0.500
Al1 0.000 0.000 0.500

## Properties
**Energy of formation**: 3.7 meV/atom
**DOS at the Fermi energy**: 0.658 states/eV/atom

***

Entry 2:
Compound: YMgAl
Source: Alexandria
Functional: PBE-GGA
Structure: relaxed

a = 6.772 Å, b = 6.772 Å, c = 6.772 Å
α = 90.00°, β = 90.00°, γ = 90.00°
Fractional coordinates of all 12 atoms:
Y1 0.000 0.000 0.000
Y2 0.000 0.500 0.500
Y3 0.500 0.000 0.500
Y4 0.500 0.500 0.000
Mg1 0.250 0.250 0.750
Mg2 0.250 0.750 0.250
Mg3 0.750 0.250 0.250
Mg4 0.750 0.750 0.750
Al1 0.000 0.000 0.500
Al2 0.000 0.500 0.000
Al3 0.500 0.000 0.000
Al4 0.500 0.500 0.500

## Properties
**Energy of formation**: 84.5 meV/atom
**DOS at the Fermi energy**: 0.398 states/eV/atom

***

Entry 3:
Compound: YMgAl2
Source: Alexandria
Functional: PBE-GGA
Structure: relaxed

a = 9.333 Å, b = 3.485 Å, c = 5.765 Å
α = 90.00°, β = 104.04°, γ = 90.00°
Fractional coordinates of all 8 atoms:
Y1 0.000 0.000 0.000
Y2 0.500 0.500 0.000
Mg1 0.000 0.500 0.500
Mg2 0.500 0.000 0.500
Al1 0.244 0.000 0.694
Al2 0.256 0.500 0.306
Al3 0.744 0.500 0.694
Al4 0.756 0.000 0.306

## Properties
**Energy of formation**: -102.8 meV/atom
**DOS at the Fermi energy**: 0.566 states/eV/atom

***

Entry 4:
Compound: Y3MgAl8
Source: Alexandria
Functional: PBE-GGA
Structure: relaxed

a = 9.587 Å, b = 9.587 Å, c = 9.587 Å
α = 33.58°, β = 33.58°, γ = 33.58°
Fractional coordinates of all 12 atoms:
Y1 0.000 0.000 0.000
Y2 0.128 0.128 0.128
Y3 0.623 0.623 0.623
Mg1 0.500 0.500 0.500
Al1 0.062 0.062 0.565
Al2 0.062 0.564 0.564
Al3 0.062 0.565 0.062
Al4 0.313 0.313 0.313
Al5 0.564 0.062 0.564
Al6 0.564 0.564 0.062
Al7 0.565 0.062 0.062
Al8 0.814 0.814 0.814

## Properties
**Energy of formation**: -401.0 meV/atom
**DOS at the Fermi energy**: 0.587 states/eV/atom

***

Entry 5:
Compound: Y2MgAl2
Source: Alexandria
Functional: PBE-GGA
Structure: relaxed

a = 4.448 Å, b = 14.949 Å, c = 3.615 Å
α = 90.00°, β = 90.00°, γ = 90.00°
Fractional coordinates of all 10 atoms:
Y1 0.000 0.124 0.000
Y2 0.000 0.876 0.000
Y3 0.500 0.376 0.000
Y4 0.500 0.624 0.000
Mg1 0.000 0.500 0.500
Mg2 0.500 0.000 0.500
Al1 0.000 0.298 0.500
Al2 0.000 0.702 0.500
Al3 0.500 0.202 0.500
Al4 0.500 0.798 0.500

## Properties
**Energy of formation**: -367.7 meV/atom
**DOS at the Fermi energy**: 0.812 states/eV/atom

***

Entry 6:
Compound: YMgAl
Source: Alexandria
Functional: PBE-GGA
Structure: relaxed

a = 3.345 Å, b = 3.345 Å, c = 7.665 Å
α = 90.00°, β = 90.00°, γ = 120.00°
Fractional coordinates of all 3 atoms:
Y1 0.000 0.000 0.000
Mg1 0.667 0.333 0.627
Al1 0.333 0.667 0.325

## Properties
**Energy of formation**: 41.1 meV/atom
**DOS at the Fermi energy**: 0.943 states/eV/atom